# 1
Here is an optimized crystal structure of LiY2Zn7 from the Alexandria database. Energies are from GGA-PBE.

Summary:
E_tot   -26.624 eV for the cell shown
Crystal system   tetragonal

Lattice parameters (Å, degrees): 4.094 4.094 11.009 90.00 90.00 90.00
Space group P-4m2 (No. 115)
Inequivalent atoms, fractional coordinates:
Li: 0.000 0.000 0.000 [1 per cell]
Y: 0.000 0.500 0.741 [2 per cell]
Zn: 0.000 0.000 0.500 [1 per cell]
Zn: 0.000 0.500 0.141 [2 per cell]
Zn: 0.000 0.500 0.364 [2 per cell]
Zn: 0.500 0.500 0.000 [1 per cell]
Zn: 0.500 0.500 0.500 [1 per cell]


# 2
Here is an optimized crystal structure of Nd3Y8Th from the Alexandria database. Energies are from GGA-PBE.

Summary:
E_tot   -139.219 eV for the cell shown
Crystal system   orthorhombic

Lattice parameters (Å, degrees): 6.480 11.543 11.549 90.00 90.00 90.00
Space group Immm (No. 71)
Inequivalent atoms, fractional coordinates:
Nd: 0.000 0.000 0.000 [2 per cell]
Nd: 0.000 0.500 0.240 [4 per cell]
Y: 0.000 0.169 0.252 [8 per cell]
Y: 0.248 0.251 0.500 [8 per cell]
Th: 0.000 0.000 0.500 [2 per cell]


# 3
Here is an optimized crystal structure of RbU2NiS5 from the Alexandria database. Energies are from GGA-PBE.

Summary:
Crystal system   tetragonal
Formation energy without anion corrections   -1.214 eV/atom

Lattice parameters (Å, degrees): 7.568 7.568 13.320 90.00 90.00 90.00
Space group I4/mcm (No. 140)
Inequivalent atoms, fractional coordinates:
Rb: 0.000 0.000 0.250 [4 per cell]
U: 0.162 0.338 0.000 [8 per cell]
Ni: 0.000 0.500 0.250 [4 per cell]
S: 0.000 0.000 0.000 [4 per cell]
S: 0.142 0.358 0.373 [16 per cell]


# 4
Here is an optimized crystal structure of OF from the Alexandria database. Energies are from GGA-PBE.

Summary:
Crystal system   orthorhombic
Formation energy without anion corrections   0.799 eV/atom

Lattice parameters (Å, degrees): 9.934 2.802 6.432 90.00 90.00 90.00
Space group Pmn2_1 (No. 31)
Inequivalent atoms, fractional coordinates:
O: 0.000 0.093 0.000 [2 per cell]
O: 0.129 0.482 0.369 [4 per cell]
F: 0.000 0.484 0.485 [2 per cell]
F: 0.114 0.029 0.867 [4 per cell]


# 5
Here is an optimized crystal structure of RbDySe2 from the Alexandria database. Energies are from GGA-PBE.

Summary:
Crystal system   trigonal
Formation energy without anion corrections   -1.722 eV/atom

Lattice parameters (Å, degrees): 4.2238 4.2238 24.3180 90.00 90.00 120.00
Space group R3m (No. 160, hexagonal axes)
Inequivalent atoms, fractional coordinates:
Rb: 0.0000 0.0000 0.0000 [3 per cell]
Dy: 0.0000 0.0000 0.1690 [3 per cell]
Se: 0.0000 0.0000 0.5671 [3 per cell]
Se: 0.0000 0.0000 0.7707 [3 per cell]


# 6
Here is an optimized crystal structure of Mo2AsOs from the Alexandria database. Energies are from GGA-PBE.

Summary:
E_tot   -37.049 eV for the cell shown
Crystal system   monoclinic

Lattice parameters (Å, degrees): 2.834 4.102 5.279 90.00 97.22 90.00
Space group P2/m (No. 10)
Inequivalent atoms, fractional coordinates:
Mo: 0.044 0.000 0.251 [2 per cell]
As: 0.500 0.500 0.500 [1 per cell]
Os: 0.500 0.500 0.000 [1 per cell]


# 7
Here is an optimized crystal structure of HfScFe from the Alexandria database. Energies are from GGA-PBE.

Summary:
E_tot   -100.279 eV for the cell shown
Crystal system   monoclinic

Lattice parameters (Å, degrees): 10.830 3.221 7.375 90.00 120.73 90.00
Space group C2/m (No. 12)
Inequivalent atoms, fractional coordinates:
Hf: 0.092 0.000 0.391 [4 per cell]
Sc: 0.159 0.500 0.066 [4 per cell]
Fe: 0.129 0.500 0.686 [4 per cell]


# 8
Here is an optimized crystal structure of TlHgH from the Alexandria database. Energies are from GGA-PBE.

Summary:
E_tot   -11.859 eV for the cell shown
Crystal system   triclinic

Lattice parameters (Å, degrees): 3.403 3.405 14.361 92.79 93.63 119.29
Space group P-1 (No. 2)
Inequivalent atoms, fractional coordinates:
Tl: 0.229 0.023 0.279 [2 per cell]
Hg: 0.280 0.642 0.911 [2 per cell]
H: 0.008 0.517 0.526 [2 per cell]


# 9
Here is an optimized crystal structure of La8Ge3PdI4 from the Alexandria database. Energies are from GGA-PBE.

Summary:
Crystal system   trigonal
Formation energy without anion corrections   -1.037 eV/atom

Lattice parameters (Å, degrees): 8.9252 8.9252 23.0511 90.00 90.00 120.00
Space group R-3m (No. 166, hexagonal axes)
Inequivalent atoms, fractional coordinates:
La: 0.0000 0.0000 0.2358 [6 per cell]
La: 0.0015 0.5007 0.2351 [18 per cell]
Ge: 0.0000 0.5000 0.5000 [9 per cell]
Pd: 0.0000 0.0000 0.5000 [3 per cell]
I: 0.0000 0.0000 0.0000 [3 per cell]
I: 0.0000 0.5000 0.0000 [9 per cell]


# 10
Here is an optimized crystal structure of HfMgInPt2 from the Alexandria database. Energies are from GGA-PBE.

Summary:
E_tot   -23.738 eV for the cell shown
Crystal system   tetragonal

Lattice parameters (Å, degrees): 4.981 4.981 5.532 90.00 90.00 90.00
Space group P4/mmm (No. 123)
Inequivalent atoms, fractional coordinates:
Hf: 0.000 0.000 0.000 [1 per cell]
Mg: 0.000 0.000 0.500 [1 per cell]
In: 0.500 0.500 0.500 [1 per cell]
Pt: 0.000 0.500 0.000 [2 per cell]


# 11
Here is an optimized crystal structure of La2MnW from the Alexandria database. Energies are from GGA-PBE.

Summary:
E_tot   -116.741 eV for the cell shown
Crystal system   cubic

Lattice parameters (Å, degrees): 7.107 7.107 7.107 90.00 90.00 90.00
Space group F-43m (No. 216)
Inequivalent atoms, fractional coordinates:
La: 0.000 0.000 0.000 [4 per cell]
La: 0.250 0.250 0.250 [4 per cell]
Mn: 0.250 0.250 0.750 [4 per cell]
W: 0.000 0.000 0.500 [4 per cell]


# 12
Here is an optimized crystal structure of Pu2RhO11 from the Alexandria database. Energies are from GGA-PBE.

Summary:
Crystal system   orthorhombic
Formation energy without anion corrections   -1.302 eV/atom

Lattice parameters (Å, degrees): 17.496 13.739 4.376 90.00 90.00 90.00
Space group Ima2 (No. 46)
Inequivalent atoms, fractional coordinates:
Pu: 0.250 0.147 0.000 [4 per cell]
Pu: 0.250 0.647 0.235 [4 per cell]
Rh: 0.000 0.000 0.366 [4 per cell]
O: 0.056 0.574 0.634 [8 per cell]
O: 0.058 0.072 0.598 [8 per cell]
O: 0.149 0.147 0.017 [8 per cell]
O: 0.149 0.647 0.217 [8 per cell]
O: 0.250 0.000 0.867 [4 per cell]
O: 0.250 0.195 0.517 [4 per cell]
O: 0.250 0.695 0.717 [4 per cell]


# 13
Here is an optimized crystal structure of Ac2SeOF from the Alexandria database. Energies are from GGA-PBE.

Summary:
Crystal system   tetragonal
Formation energy without anion corrections   -2.813 eV/atom

Lattice parameters (Å, degrees): 4.049 4.049 13.695 90.00 90.00 90.00
Space group I-4m2 (No. 119)
Inequivalent atoms, fractional coordinates:
Ac: 0.000 0.000 0.138 [4 per cell]
Se: 0.000 0.000 0.500 [2 per cell]
O: 0.000 0.500 0.250 [2 per cell]
F: 0.000 0.500 0.750 [2 per cell]


# 14
Here is an optimized crystal structure of Cu7PtAu12 from the Alexandria database. Energies are from GGA-PBE.

Summary:
E_tot   -221.836 eV for the cell shown
Crystal system   trigonal

Lattice parameters (Å, degrees): 11.7777 11.7777 8.1510 90.00 90.00 120.00
Space group R-3 (No. 148, hexagonal axes)
Inequivalent atoms, fractional coordinates:
Cu: 0.0000 0.0000 0.0000 [3 per cell]
Cu: 0.0651 0.2453 0.4156 [18 per cell]
Pt: 0.0000 0.0000 0.5000 [3 per cell]
Au: 0.0475 0.2042 0.7353 [18 per cell]
Au: 0.0539 0.2473 0.0833 [18 per cell]


# 15
Here is an optimized crystal structure of RbSrMg from the Alexandria database. Energies are from GGA-PBE.

Summary:
E_tot   -7.648 eV for the cell shown
Crystal system   triclinic

Lattice parameters (Å, degrees): 4.258 7.382 10.695 77.63 89.66 73.38
Space group P1 (No. 1)
Inequivalent atoms, fractional coordinates:
Rb: 0.000 0.000 0.000 [1 per cell]
Rb: 0.283 0.422 0.191 [1 per cell]
Sr: 0.691 0.604 0.756 [1 per cell]
Sr: 0.939 0.114 0.561 [1 per cell]
Mg: 0.217 0.556 0.506 [1 per cell]
Mg: 0.574 0.853 0.374 [1 per cell]


# 16
Here is an optimized crystal structure of Mn5AlV4 from the Alexandria database. Energies are from GGA-PBE.

Summary:
E_tot   -88.772 eV for the cell shown
Crystal system   tetragonal

Lattice parameters (Å, degrees): 2.893 2.893 14.393 90.00 90.00 90.00
Space group P4/mmm (No. 123)
Inequivalent atoms, fractional coordinates:
Mn: 0.000 0.000 0.000 [1 per cell]
Mn: 0.000 0.000 0.198 [2 per cell]
Mn: 0.000 0.000 0.393 [2 per cell]
Al: 0.500 0.500 0.500 [1 per cell]
V: 0.500 0.500 0.101 [2 per cell]
V: 0.500 0.500 0.303 [2 per cell]


# 17
Here is an optimized crystal structure of InRe2Os from the Alexandria database. Energies are from GGA-PBE.

Summary:
E_tot   -74.084 eV for the cell shown
Crystal system   monoclinic

Lattice parameters (Å, degrees): 9.338 2.877 4.924 90.00 101.48 90.00
Space group Cm (No. 8)
Inequivalent atoms, fractional coordinates:
In: 0.000 0.000 0.000 [2 per cell]
Re: 0.008 0.500 0.495 [2 per cell]
Re: 0.267 0.500 0.312 [2 per cell]
Os: 0.239 0.000 0.754 [2 per cell]


# 18
Here is an optimized crystal structure of PuTe2Pb from the Alexandria database. Energies are from GGA-PBE.

Summary:
Crystal system   trigonal
Formation energy without anion corrections   -0.632 eV/atom

Lattice parameters (Å, degrees): 4.3839 4.3839 24.2702 90.00 90.00 120.00
Space group R3m (No. 160, hexagonal axes)
Inequivalent atoms, fractional coordinates:
Pu: 0.0000 0.0000 0.0000 [3 per cell]
Te: 0.0000 0.0000 0.2513 [3 per cell]
Te: 0.0000 0.0000 0.4126 [3 per cell]
Pb: 0.0000 0.0000 0.8338 [3 per cell]


# 19
Here is an optimized crystal structure of AsIrSe2S from the Alexandria database. Energies are from GGA-PBE.

Summary:
Crystal system   tetragonal
Formation energy without anion corrections   0.786 eV/atom

Lattice parameters (Å, degrees): 4.872 4.872 4.869 90.00 90.00 90.00
Space group P4/mmm (No. 123)
Inequivalent atoms, fractional coordinates:
As: 0.000 0.000 0.000 [1 per cell]
Ir: 0.000 0.000 0.500 [1 per cell]
Se: 0.000 0.500 0.500 [2 per cell]
S: 0.500 0.500 0.000 [1 per cell]


# 20
Here is an optimized crystal structure of AcPrSiIr from the Alexandria database. Energies are from GGA-PBE.

Summary:
Crystal system   cubic
Formation energy without anion corrections   -0.349 eV/atom

Lattice parameters (Å, degrees): 7.430 7.430 7.430 90.00 90.00 90.00
Space group F-43m (No. 216)
Inequivalent atoms, fractional coordinates:
Ac: 0.000 0.000 0.000 [4 per cell]
Pr: 0.000 0.000 0.500 [4 per cell]
Si: 0.250 0.250 0.250 [4 per cell]
Ir: 0.250 0.250 0.750 [4 per cell]